Record 1
This record from Alexandria via LeMat-Bulk describes a geometry-optimized FeNiBr4 structure. The functional is GGA-PBE.

Cell: 5.499 5.524 25.114 Å, 89.83 90.00 90.00°
Positions (direct):
Ni (0.984, 0.744, 0.874)
Ni (0.016, 0.256, 0.126)
Br (0.735, 0.004, 0.682)
Br (0.733, 0.494, 0.818)
Fe (0.984, 0.756, 0.626)
Br (0.265, 0.996, 0.318)
Fe (0.516, 0.756, 0.126)
Br (0.767, 0.494, 0.318)
Br (0.765, 0.004, 0.182)
Fe (0.016, 0.244, 0.374)
Br (0.235, 0.996, 0.818)
Br (0.233, 0.006, 0.569)
Fe (0.484, 0.244, 0.874)
Ni (0.516, 0.744, 0.374)
Br (0.267, 0.506, 0.182)
Ni (0.484, 0.256, 0.626)
Br (0.267, 0.006, 0.069)
Br (0.735, 0.508, 0.569)
Br (0.233, 0.506, 0.682)
Br (0.235, 0.492, 0.931)
Br (0.767, 0.994, 0.431)
Br (0.733, 0.994, 0.931)
Br (0.265, 0.492, 0.431)
Br (0.765, 0.508, 0.069)


Record 2
This record from Alexandria via LeMat-Bulk describes a geometry-optimized FeNiBr2 structure. The functional is GGA-PBE.

Cell: 6.873 6.873 6.873 Å, 149.95 149.95 43.02°
Positions (direct):
Br (0.250, 0.750, 0.500)
Fe (0.500, 0.500, 0.000)
Ni (0.750, 0.250, 0.500)
Br (0.000, 0.000, 0.000)


Record 3
This record from Alexandria via LeMat-Bulk describes a geometry-optimized Pm6FeNi2Br3 structure. The functional is GGA-PBE.

Cell: 6.930 6.930 8.079 Å, 98.22 98.22 120.00°
Positions (direct):
Pm (0.935, 0.613, 0.806)
Pm (0.065, 0.387, 0.194)
Br (0.835, 0.165, 0.500)
Ni (0.333, 0.667, 0.000)
Ni (0.667, 0.333, 0.000)
Fe (0.000, 0.000, 0.000)
Br (0.165, 0.835, 0.500)
Br (0.500, 0.500, 0.500)
Pm (0.742, 0.742, 0.194)
Pm (0.613, 0.935, 0.806)
Pm (0.387, 0.065, 0.194)
Pm (0.258, 0.258, 0.806)


Record 4
This record from Alexandria via LeMat-Bulk describes a geometry-optimized Pr8FeNi3Br4 structure. The functional is GGA-PBE.

Cell: 8.156 9.132 8.158 Å, 116.53 119.99 90.00°
Positions (direct):
Ni (0.500, 0.500, 0.000)
Pr (0.740, 0.695, 0.968)
Pr (0.772, 0.305, 0.545)
Br (0.000, 0.000, 0.500)
Ni (0.500, 0.500, 0.500)
Br (0.000, 0.000, 0.000)
Pr (0.228, 0.695, 0.968)
Pr (0.731, 0.693, 0.462)
Br (0.500, 0.000, 0.000)
Fe (0.000, 0.500, 0.000)
Pr (0.228, 0.695, 0.455)
Br (0.500, 0.000, 0.500)
Ni (0.000, 0.500, 0.500)
Pr (0.772, 0.305, 0.032)
Pr (0.260, 0.305, 0.032)
Pr (0.269, 0.307, 0.538)


Record 5
This record from Alexandria via LeMat-Bulk describes a geometry-optimized RbFeNiBr6 structure. The functional is GGA-PBE.

Cell: 6.523 6.523 7.791 Å, 90.00 90.00 60.00°
Positions (direct):
Br (0.012, 0.366, 0.320)
Br (0.622, 0.012, 0.320)
Br (0.366, 0.622, 0.320)
Rb (0.000, 0.000, 0.000)
Ni (0.667, 0.667, 0.500)
Fe (0.333, 0.333, 0.500)
Br (0.622, 0.366, 0.680)
Br (0.012, 0.622, 0.680)
Br (0.366, 0.012, 0.680)


Record 6
This record from Alexandria via LeMat-Bulk describes a geometry-optimized FeNiSe2Br structure. The functional is GGA-PBE.

Cell: 4.646 4.646 5.270 Å, 90.00 90.00 90.00°
Positions (direct):
Br (0.000, 0.000, 0.500)
Ni (0.500, 0.500, 0.500)
Fe (0.000, 0.000, 0.000)
Se (0.000, 0.500, 0.000)
Se (0.500, 0.000, 0.000)


Record 7
This record from Alexandria via LeMat-Bulk describes a geometry-optimized FeNiSe2Br structure. The functional is GGA-PBE.

Cell: 4.709 4.709 4.854 Å, 90.00 90.00 90.00°
Positions (direct):
Br (0.000, 0.000, 0.500)
Se (0.500, 0.000, 0.000)
Fe (0.500, 0.500, 0.500)
Ni (0.000, 0.000, 0.000)
Se (0.000, 0.500, 0.000)


Record 8
This record from Alexandria via LeMat-Bulk describes a geometry-optimized Fe2SiNiBr structure. The functional is GGA-PBE.

Cell: 4.448 4.299 4.448 Å, 90.00 90.00 90.00°
Positions (direct):
Ni (0.000, 0.500, 0.000)
Fe (0.000, 0.000, 0.500)
Fe (0.500, 0.000, 0.000)
Br (0.500, 0.500, 0.500)
Si (0.000, 0.000, 0.000)


Record 9
This record from Alexandria via LeMat-Bulk describes a geometry-optimized Sm8FeNi3Br4 structure. The functional is GGA-PBE.

Cell: 7.987 8.958 7.984 Å, 116.40 120.02 90.00°
Positions (direct):
Sm (0.730, 0.691, 0.461)
Ni (0.500, 0.500, 0.000)
Sm (0.773, 0.306, 0.034)
Sm (0.260, 0.306, 0.034)
Fe (0.000, 0.500, 0.000)
Sm (0.773, 0.306, 0.546)
Br (0.000, 0.000, 0.500)
Br (0.000, 0.000, 0.000)
Ni (0.000, 0.500, 0.500)
Sm (0.740, 0.694, 0.966)
Sm (0.270, 0.309, 0.539)
Sm (0.227, 0.694, 0.454)
Br (0.500, 0.000, 0.000)
Sm (0.227, 0.694, 0.966)
Br (0.500, 0.000, 0.500)
Ni (0.500, 0.500, 0.500)


Record 10
This record from Alexandria via LeMat-Bulk describes a geometry-optimized Sm6FeNi2Br3 structure. The functional is GGA-PBE.

Cell: 6.892 6.892 8.045 Å, 98.21 98.21 120.00°
Positions (direct):
Sm (0.064, 0.387, 0.193)
Sm (0.936, 0.613, 0.807)
Br (0.165, 0.835, 0.500)
Sm (0.613, 0.936, 0.807)
Sm (0.258, 0.258, 0.807)
Br (0.835, 0.165, 0.500)
Ni (0.667, 0.333, 0.000)
Br (0.500, 0.500, 0.500)
Sm (0.387, 0.064, 0.193)
Fe (0.000, 0.000, 0.000)
Sm (0.742, 0.742, 0.193)
Ni (0.333, 0.667, 0.000)


Record 11
This record from Alexandria via LeMat-Bulk describes a geometry-optimized TiFeNi2Br structure. The functional is GGA-PBE.

Cell: 4.522 4.433 4.522 Å, 90.00 90.00 90.00°
Positions (direct):
Ti (0.000, 0.000, 0.000)
Fe (0.000, 0.500, 0.000)
Br (0.500, 0.500, 0.500)
Ni (0.000, 0.000, 0.500)
Ni (0.500, 0.000, 0.000)


Record 12
This record from Alexandria via LeMat-Bulk describes a geometry-optimized TlFe2NiBr8 structure. The functional is GGA-PBE.

Cell: 6.604 6.604 9.583 Å, 85.47 85.47 69.26°
Positions (direct):
Br (0.234, 0.234, 0.993)
Br (0.254, 0.768, 0.802)
Tl (0.000, 0.000, 0.500)
Br (0.768, 0.254, 0.802)
Br (0.697, 0.697, 0.432)
Br (0.746, 0.232, 0.198)
Br (0.232, 0.746, 0.198)
Br (0.303, 0.303, 0.568)
Br (0.766, 0.766, 0.007)
Fe (0.378, 0.378, 0.790)
Ni (0.000, 0.000, 0.000)
Fe (0.622, 0.622, 0.210)


Record 13
This record from Alexandria via LeMat-Bulk describes a geometry-optimized YFe2NiBr structure. The functional is GGA-PBE.

Cell: 4.354 5.326 4.354 Å, 90.00 90.00 90.00°
Positions (direct):
Y (0.000, 0.500, 0.000)
Fe (0.000, 0.000, 0.500)
Br (0.000, 0.000, 0.000)
Ni (0.500, 0.500, 0.500)
Fe (0.500, 0.000, 0.000)


For each record above, in turn, the calculated energy relative to the elements, uncorrected values are -0.351; 0.467; -0.742; -0.742; -0.607; 0.643; 0.580; 0.739; -0.758; -0.742; 1.132; -0.469; 0.864 eV per atom.